Sr3BiAs after structural relaxation, computed with GGA-PBE.

Properties
As for the total energy: -35.90 eV per cell. The calculated density is 4.6 g/cm³. The energy above the most stable polymorph in this dataset is 111 meV/atom. Its formation energy is -0.875 eV per atom. As for the density of states at the Fermi level: 0.11 states/eV per atom.

abc: 9.458 9.458 5.741
angles: 90.00 90.00 129.70
Atoms (fractional coordinates):
1 Sr 0.000 0.500 0.500
2 Sr 0.153 0.847 0.000
3 Sr 0.276 0.276 0.500
4 Sr 0.500 0.000 0.500
5 Sr 0.724 0.724 0.500
6 Sr 0.847 0.153 0.000
7 Bi 0.358 0.642 0.000
8 Bi 0.642 0.358 0.000
9 As 0.116 0.884 0.500
10 As 0.884 0.116 0.500